GGA+U BeCdFeF2, optimized geometry; total magnetization = 3.57 μB/cell; uncorrected energy = -18.850 eV/cell; space group = No. 123; calculated volume = 17.06 Å³/atom
1.0
3.541 0.000 0.000
0.000 3.541 0.000
0.000 0.000 6.802
Be Cd Fe F
1 1 1 2
Direct
0.000 0.000 0.000
0.000 0.000 0.500
0.500 0.500 0.500
0.000 0.500 0.000
0.500 0.000 0.000